A) The following is a DFT calculation (PBE) of AgRhAu after structural relaxation.

Cell and atoms, written as CIF:
```
data_AgRhAu
_cell_length_a 2.8415
_cell_length_b 2.8415
_cell_length_c 7.1193
_cell_angle_alpha 90.00
_cell_angle_beta 90.00
_cell_angle_gamma 120.00
_space_group_name_H-M_alt 'P 3 m 1'
_space_group_IT_number 156
loop_
_space_group_symop_operation_xyz
'x,y,z'
'-y,x-y,z'
'-x+y,-x,z'
'-y,-x,z'
'-x+y,y,z'
'x,x-y,z'
loop_
_atom_site_label
_atom_site_fract_x
_atom_site_fract_y
_atom_site_fract_z
Ag1 0.0000 0.0000 0.0000
Rh1 0.3333 0.6667 0.6729
Au1 0.6667 0.3333 0.3445
```



B) The following is a DFT calculation (PBE) of AgRhAu after structural relaxation.

Cell and atoms, written as CIF:
```
data_AgRhAu
_cell_length_a 6.2143
_cell_length_b 6.2143
_cell_length_c 6.2143
_cell_angle_alpha 90.00
_cell_angle_beta 90.00
_cell_angle_gamma 90.00
_space_group_name_H-M_alt 'F -4 3 m'
_space_group_IT_number 216
_space_group_name_Hall 'F -4 2 3'
loop_
_atom_site_label
_atom_site_fract_x
_atom_site_fract_y
_atom_site_fract_z
Ag1 0.0000 0.0000 0.0000
Rh1 0.2500 0.2500 0.7500
Au1 0.0000 0.0000 0.5000
```



C) The following is a DFT calculation (PBE) of AgRhAu after structural relaxation.

Cell and atoms, written as CIF:
```
data_AgRhAu
_cell_length_a 2.7993
_cell_length_b 4.1298
_cell_length_c 8.6414
_cell_angle_alpha 90.00
_cell_angle_beta 90.00
_cell_angle_gamma 90.00
_space_group_name_H-M_alt 'I m m 2'
_space_group_IT_number 44
loop_
_space_group_symop_operation_xyz
'x,y,z'
'-x,-y,z'
'-x,y,z'
'x,-y,z'
'x+1/2,y+1/2,z+1/2'
'-x+1/2,-y+1/2,z+1/2'
'-x+1/2,y+1/2,z+1/2'
'x+1/2,-y+1/2,z+1/2'
loop_
_atom_site_label
_atom_site_fract_x
_atom_site_fract_y
_atom_site_fract_z
Ag1 0.0000 0.0000 0.0000
Rh1 0.0000 0.0000 0.6663
Au1 0.0000 0.0000 0.3288
```



Which one sits at the top of the stability order? A) does.



A) The following is a DFT calculation (PBE) of SmAgRhAu after structural relaxation.

Cell and atoms, written as CIF:
```
data_SmAgRhAu
_cell_length_a 4.0765
_cell_length_b 4.1527
_cell_length_c 4.5504
_cell_angle_alpha 90.00
_cell_angle_beta 90.00
_cell_angle_gamma 90.00
_space_group_name_H-M_alt 'P m m m'
_space_group_IT_number 47
loop_
_space_group_symop_operation_xyz
'x,y,z'
'-x,-y,-z'
'-x,-y,z'
'x,y,-z'
'x,-y,-z'
'-x,y,z'
'-x,y,-z'
'x,-y,z'
loop_
_atom_site_label
_atom_site_fract_x
_atom_site_fract_y
_atom_site_fract_z
Sm1 0.0000 0.0000 0.0000
Ag1 0.0000 0.5000 0.5000
Rh1 0.5000 0.5000 0.0000
Au1 0.5000 0.0000 0.5000
```



B) The following is a DFT calculation (PBE) of SmAgRhAu after structural relaxation.

Cell and atoms, written as CIF:
```
data_SmAgRhAu
_cell_length_a 6.8342
_cell_length_b 6.8342
_cell_length_c 6.8342
_cell_angle_alpha 90.00
_cell_angle_beta 90.00
_cell_angle_gamma 90.00
_space_group_name_H-M_alt 'F -4 3 m'
_space_group_IT_number 216
_space_group_name_Hall 'F -4 2 3'
loop_
_atom_site_label
_atom_site_fract_x
_atom_site_fract_y
_atom_site_fract_z
Sm1 0.0000 0.0000 0.0000
Ag1 0.0000 0.0000 0.5000
Rh1 0.2500 0.2500 0.2500
Au1 0.2500 0.2500 0.7500
```



Which one sits at the top of the stability order? A) does.



A) The following is a DFT calculation (PBE) of TbAgRhAu after structural relaxation.

Cell and atoms, written as CIF:
```
data_TbAgRhAu
_cell_length_a 6.7606
_cell_length_b 6.7606
_cell_length_c 6.7606
_cell_angle_alpha 90.00
_cell_angle_beta 90.00
_cell_angle_gamma 90.00
_space_group_name_H-M_alt 'F -4 3 m'
_space_group_IT_number 216
_space_group_name_Hall 'F -4 2 3'
loop_
_atom_site_label
_atom_site_fract_x
_atom_site_fract_y
_atom_site_fract_z
Tb1 0.0000 0.0000 0.0000
Ag1 0.0000 0.0000 0.5000
Rh1 0.2500 0.2500 0.2500
Au1 0.2500 0.2500 0.7500
```



B) The following is a DFT calculation (PBE) of TbAgRhAu after structural relaxation.

Cell and atoms, written as CIF:
```
data_TbAgRhAu
_cell_length_a 4.0460
_cell_length_b 4.1188
_cell_length_c 4.4841
_cell_angle_alpha 90.00
_cell_angle_beta 90.00
_cell_angle_gamma 90.00
_space_group_name_H-M_alt 'P m m m'
_space_group_IT_number 47
loop_
_space_group_symop_operation_xyz
'x,y,z'
'-x,-y,-z'
'-x,-y,z'
'x,y,-z'
'x,-y,-z'
'-x,y,z'
'-x,y,-z'
'x,-y,z'
loop_
_atom_site_label
_atom_site_fract_x
_atom_site_fract_y
_atom_site_fract_z
Tb1 0.0000 0.0000 0.0000
Ag1 0.0000 0.5000 0.5000
Rh1 0.5000 0.5000 0.0000
Au1 0.5000 0.0000 0.5000
```



Which one sits at the top of the stability order? B) does.